Entry 1:
A relaxed NdThGe2Rh5 crystal, computed with GGA-PBE.

Lattice parameters (Å, degrees): 4.272 4.272 8.954 90.00 90.00 90.00
Space group P4/mmm (No. 123)
One atom of each set of equivalent atoms:
Nd 0.000 0.000 0.000
Th 0.000 0.000 0.500
Ge 0.500 0.500 0.356
Rh 0.000 0.500 0.234
Rh 0.500 0.500 0.000

energy = -64.8 eV for the cell shown
energy relative to the elements = -639 kJ/mol of formula units

Entry 2:
A relaxed Na2HgCl crystal, computed with GGA-PBE.

Lattice parameters (Å, degrees): 7.511 7.511 7.511 90.00 90.00 90.00
Space group Fm-3m (No. 225)
One atom of each set of equivalent atoms:
Na 0.250 0.250 0.250
Hg 0.000 0.000 0.000
Cl 0.000 0.000 0.500

energy = -30.4 eV for the cell shown
formation energy without anion corrections = -0.703 eV/atom

Entry 3:
A relaxed BaSc2Al crystal, computed with GGA-PBE.

Lattice parameters (Å, degrees): 3.669 5.187 11.602 90.00 90.00 90.00
Space group Imm2 (No. 44)
One atom of each set of equivalent atoms:
Ba 0.000 0.000 0.000
Sc 0.000 0.000 0.569
Sc 0.000 0.500 0.791
Al 0.000 0.500 0.255

energy = -35.3 eV for the cell shown
energy relative to the elements = 65 kJ/mol of formula units

Entry 4:
A relaxed Ba2TaCoSe crystal, computed with GGA-PBE.

Lattice parameters (Å, degrees): 6.282 6.282 4.837 90.00 90.00 90.00
Space group P4/mmm (No. 123)
One atom of each set of equivalent atoms:
Ba 0.000 0.500 0.000
Ta 0.000 0.000 0.500
Co 0.500 0.500 0.500
Se 0.000 0.000 0.000

energy = -23.4 eV for the cell shown
formation energy without anion corrections = 0.587 eV/atom

Entry 5:
A relaxed La5NdZn3 crystal, computed with GGA-PBE.

Lattice parameters (Å, degrees): 9.2157 9.2157 7.1542 90.00 90.00 120.00
Space group P6_3/mcm (No. 193)
One atom of each set of equivalent atoms:
La 0.0000 0.3353 0.2500
La 0.3333 0.6667 0.0000
Nd 0.0000 0.0000 0.0000
Zn 0.0000 0.3289 0.7500

energy = -69.0 eV for the cell shown
energy relative to the elements = -123 kJ/mol of formula units

Entry 6:
A relaxed HfMn crystal, computed with GGA-PBE.

Lattice parameters (Å, degrees): 11.613 11.613 11.613 90.00 90.00 90.00
Space group Fd-3m (No. 227, origin choice 2)
One atom of each set of equivalent atoms:
Hf 0.073 0.375 0.375
Mn 0.000 0.000 0.500
Mn 0.048 0.048 0.702

energy = -935.6 eV for the cell shown
energy relative to the elements = -36 kJ/mol of formula units

Entry 7:
A relaxed DyY2H crystal, computed with GGA-PBE.

Lattice parameters (Å, degrees): 3.358 3.358 8.496 90.00 90.00 90.00
Space group P4/mmm (No. 123)
One atom of each set of equivalent atoms:
Dy 0.000 0.000 0.000
Y 0.500 0.500 0.308
H 0.000 0.000 0.500

energy = -20.4 eV for the cell shown

Entry 8:
A relaxed LaNd3Y7 crystal, computed with GGA-PBE.

Lattice parameters (Å, degrees): 7.018 5.608 10.164 90.00 109.56 90.00
Space group P2/m (No. 10)
One atom of each set of equivalent atoms:
La 0.000 0.000 0.000
Nd 0.282 0.500 0.499
Nd 0.500 0.000 0.000
Y 0.000 0.000 0.500
Y 0.143 0.500 0.787
Y 0.322 0.500 0.138
Y 0.420 0.000 0.330

energy = -63.0 eV for the cell shown
energy relative to the elements = 145 kJ/mol of formula units

Entry 9:
A relaxed TaTi2NbN crystal, computed with GGA-PBE.

Lattice parameters (Å, degrees): 4.108 4.108 4.452 90.00 90.00 90.00
Space group P4/mmm (No. 123)
One atom of each set of equivalent atoms:
Ta 0.000 0.000 0.000
Ti 0.000 0.500 0.500
Nb 0.500 0.500 0.000
N 0.500 0.500 0.500

energy = -49.3 eV for the cell shown
formation energy without anion corrections = -0.648 eV/atom

Entry 10:
A relaxed YOsRu2 crystal, computed with GGA-PBE.

Lattice parameters (Å, degrees): 9.339 2.927 5.134 90.00 102.15 90.00
Space group C2/m (No. 12)
One atom of each set of equivalent atoms:
Y 0.000 0.000 0.000
Os 0.000 0.500 0.500
Ru 0.235 0.000 0.698

energy = -70.9 eV for the cell shown
energy relative to the elements = 78 kJ/mol of formula units

Entry 11:
A relaxed PuMnPt2 crystal, computed with GGA-PBE.

Lattice parameters (Å, degrees): 4.3920 4.3920 14.0555 90.00 90.00 120.00
Space group R-3m (No. 166, hexagonal axes)
One atom of each set of equivalent atoms:
Pu 0.0000 0.0000 0.0000
Mn 0.0000 0.0000 0.5000
Pt 0.0000 0.0000 0.2161

energy = -113.0 eV for the cell shown
energy relative to the elements = -200 kJ/mol of formula units

Entry 12:
A relaxed TbPrAl crystal, computed with GGA-PBE.

Lattice parameters (Å, degrees): 5.1445 5.1445 3.6914 90.00 90.00 120.00
Space group P3m1 (No. 156)
One atom of each set of equivalent atoms:
Tb 0.0000 0.0000 0.0000
Pr 0.6667 0.3333 0.5673
Al 0.3333 0.6667 0.2328

energy = -13.6 eV for the cell shown
energy relative to the elements = -40 kJ/mol of formula units

Entry 13:
A relaxed Ac2SnGe crystal, computed with GGA-PBE.

Lattice parameters (Å, degrees): 3.797 3.797 8.804 90.00 90.00 90.00
Space group P4/mmm (No. 123)
One atom of each set of equivalent atoms:
Ac 0.000 0.000 0.233
Sn 0.500 0.500 0.500
Ge 0.500 0.500 0.000

energy = -19.2 eV for the cell shown
energy relative to the elements = -224 kJ/mol of formula units

Entry 14:
A relaxed La3B2Rh7 crystal, computed with GGA-PBE.

Lattice parameters (Å, degrees): 4.289 4.289 22.686 90.00 90.00 90.00
Space group I4/mmm (No. 139)
One atom of each set of equivalent atoms:
La 0.000 0.000 0.000
La 0.000 0.000 0.193
B 0.000 0.000 0.407
Rh 0.000 0.000 0.316
Rh 0.000 0.000 0.500
Rh 0.000 0.500 0.097

energy = -174.8 eV for the cell shown
energy relative to the elements = -754 kJ/mol of formula units

Entry 15:
A relaxed HgSb2Ru crystal, computed with GGA-PBE.

Lattice parameters (Å, degrees): 10.239 3.191 6.400 90.00 112.54 90.00
Space group Cm (No. 8)
One atom of each set of equivalent atoms:
Hg 0.000 0.000 0.000
Sb 0.159 0.000 0.633
Sb 0.345 0.000 0.355
Ru 0.233 0.500 0.994

energy = -34.6 eV for the cell shown
formation energy without anion corrections = 0.131 eV/atom

Entry 16:
A relaxed NaMg2Cd5 crystal, computed with GGA-PBE.

Lattice parameters (Å, degrees): 16.896 4.704 4.710 90.00 105.15 90.00
Space group C2/m (No. 12)
One atom of each set of equivalent atoms:
Na 0.000 0.000 0.000
Mg 0.249 0.000 0.248
Cd 0.000 0.500 0.500
Cd 0.130 0.000 0.632
Cd 0.130 0.500 0.131

energy = -19.5 eV for the cell shown
energy relative to the elements = -62 kJ/mol of formula units

Entry 17:
A relaxed LiNdCl crystal, computed with GGA-PBE.

Lattice parameters (Å, degrees): 6.913 3.989 12.880 90.00 100.38 90.00
Space group C2/m (No. 12)
One atom of each set of equivalent atoms:
Li 0.155 0.000 0.466
Nd 0.074 0.500 0.720
Cl 0.213 0.500 0.144

energy = -44.4 eV for the cell shown
formation energy without anion corrections = -0.856 eV/atom

Entry 18:
A relaxed TaCoRe2 crystal, computed with GGA-PBE.

Lattice parameters (Å, degrees): 2.7450 2.7450 27.4235 90.00 90.00 120.00
Space group R-3m (No. 166, hexagonal axes)
One atom of each set of equivalent atoms:
Ta 0.0000 0.0000 0.0000
Co 0.0000 0.0000 0.5000
Re 0.0000 0.0000 0.2417

energy = -129.0 eV for the cell shown
energy relative to the elements = 83 kJ/mol of formula units

Entry 19:
A relaxed FeSi2Os crystal, computed with GGA-PBE.

Lattice parameters (Å, degrees): 3.725 3.725 16.272 90.00 90.00 90.00
Space group I-42d (No. 122)
One atom of each set of equivalent atoms:
Fe 0.000 0.000 0.000
Si 0.231 0.250 0.125
Os 0.000 0.000 0.500

energy = -119.2 eV for the cell shown
formation energy without anion corrections = 0.183 eV/atom

Entry 20:
A relaxed SmEr3TmTh crystal, computed with GGA-PBE.

Lattice parameters (Å, degrees): 10.576 3.547 10.598 90.00 109.15 90.00
Space group P2_1/m (No. 11)
One atom of each set of equivalent atoms:
Sm 0.208 0.250 0.375
Er 0.043 0.250 0.875
Er 0.293 0.750 0.121
Er 0.459 0.750 0.629
Tm 0.125 0.750 0.628
Th 0.376 0.250 0.874

energy = -60.3 eV for the cell shown
energy relative to the elements = 13 kJ/mol of formula units

Entry 21:
A relaxed CaSb2Au crystal, computed with GGA-PBE.

Lattice parameters (Å, degrees): 3.303 5.301 5.857 90.00 90.00 90.00
Space group Pmm2 (No. 25)
One atom of each set of equivalent atoms:
Ca 0.000 0.000 0.000
Sb 0.500 0.000 0.485
Sb 0.500 0.500 0.801
Au 0.500 0.500 0.283

energy = -15.2 eV for the cell shown
formation energy without anion corrections = -0.411 eV/atom

Entry 22:
A relaxed SmY14Sc crystal, computed with GGA-PBE.

Lattice parameters (Å, degrees): 7.117 7.117 10.029 90.00 90.00 90.00
Space group P4/mmm (No. 123)
One atom of each set of equivalent atoms:
Sm 0.000 0.000 0.000
Y 0.000 0.000 0.500
Y 0.000 0.500 0.000
Y 0.000 0.500 0.500
Y 0.252 0.252 0.247
Y 0.500 0.500 0.500
Sc 0.500 0.500 0.000

energy = -101.1 eV for the cell shown
energy relative to the elements = 45 kJ/mol of formula units

Entry 23:
A relaxed BaCu2SeO crystal, computed with GGA-PBE.

Lattice parameters (Å, degrees): 4.008 12.052 7.367 90.00 90.00 90.00
Space group Cmcm (No. 63)
One atom of each set of equivalent atoms:
Ba 0.000 0.043 0.250
Cu 0.000 0.335 0.066
Se 0.000 0.232 0.750
O 0.000 0.500 0.000

energy = -95.4 eV for the cell shown
formation energy without anion corrections = -1.061 eV/atom

Entry 24:
A relaxed K2MnSb2 crystal, computed with GGA-PBE.

Lattice parameters (Å, degrees): 7.335 7.335 5.840 90.00 90.00 90.00
Space group P4/mbm (No. 127)
One atom of each set of equivalent atoms:
K 0.167 0.333 0.000
Mn 0.000 0.000 0.500
Sb 0.145 0.645 0.500

energy = -40.7 eV for the cell shown
formation energy without anion corrections = -0.151 eV/atom

Entry 25:
A relaxed TbP2OsRu crystal, computed with GGA-PBE.

Lattice parameters (Å, degrees): 4.077 4.077 9.587 90.00 90.00 90.00
Space group I-4m2 (No. 119)
One atom of each set of equivalent atoms:
Tb 0.000 0.000 0.000
P 0.000 0.000 0.374
Os 0.000 0.500 0.750
Ru 0.000 0.500 0.250

energy = -80.9 eV for the cell shown
energy relative to the elements = -434 kJ/mol of formula units